VASP calculation (GGA-PBE) on crystalline IrCNF2 at its relaxed geometry.

Summary:
**E above lowest polymorph**: 700.2 meV/atom
**Space-group type**: No. 123
**D(E_F)**: 4.30 states/eV per cell
**Energy relative to the elements, uncorrected**: 1.179 eV per atom

```
IrCNF2
1.0
-0.4678 -0.4177 4.1714
3.9156 -1.5431 0.2845
1.3199 3.4400 0.4925
N Ir C F
1 1 1 2
Direct
0.0000 0.0000 0.5000
0.0000 0.0000 0.0000
0.5000 0.5000 0.5000
0.0000 0.5000 0.0000
0.5000 0.0000 0.0000
```